{"formula": "GaI2", "functional": "PBE", "state": "optimized geometry", "dos_at_fermi_per_ev_cell": 0.0, "final_energy_ev_per_atom": -2.484, "m_tot_mub_per_atom": 0.00, "formation_energy_uncorrected_ev_per_atom": -0.44, "lattice": [[7.1677, 0.0000, -0.0033], [0.0000, 9.0532, 0.0000], [-6.7165, 0.0000, 8.7168]], "species": ["I", "I", "I", "I", "I", "I", "I", "I", "Ga", "Ga", "Ga", "Ga"], "fractional_positions": [[0.0351, 0.2214, 0.8207], [0.9649, 0.2214, 0.1793], [0.0351, 0.7214, 0.3207], [0.9649, 0.7214, 0.6793], [0.6166, 0.4028, 0.3327], [0.3834, 0.9028, 0.1673], [0.6166, 0.9028, 0.8327], [0.3834, 0.4028, 0.6673], [0.0000, 0.5609, 0.5000], [0.5000, 0.6741, 0.0000], [0.0000, 0.0609, 0.0000], [0.5000, 0.1741, 0.5000]]}


{"formula": "BaY2Cd", "functional": "PBE", "state": "optimized geometry", "ef_mev_per_atom": 264.5, "dos_at_fermi_per_ev_cell": 11.0, "final_energy_ev_per_atom": -3.677, "m_tot_mub_per_atom": 0.00, "lattice": [[-1.9053, -3.2900, 3.0014], [4.0355, -2.6562, -0.3499], [5.7626, 2.9199, 10.7673]], "species": ["Y", "Y", "Y", "Y", "Ba", "Ba", "Cd", "Cd"], "fractional_positions": [[0.3750, 0.3976, 0.7500], [0.1476, 0.6250, 0.2500], [0.8750, 0.8524, 0.7500], [0.6024, 0.1250, 0.2500], [0.0000, 0.0000, 0.0000], [0.7500, 0.2500, 0.5000], [0.5000, 0.5000, 0.0000], [0.2500, 0.7500, 0.5000]]}


{"formula": "Nb4InH2", "functional": "PBE", "state": "optimized geometry", "dos_at_fermi_per_ev_cell": 5.2, "final_energy_ev_per_atom": -7.091, "m_tot_mub_per_atom": 0.00, "lattice": [[3.2993, 0.0000, 0.0000], [0.0000, 4.4253, -1.4057], [0.0000, -0.6335, 7.7779]], "species": ["In", "Nb", "Nb", "Nb", "Nb", "H", "H"], "fractional_positions": [[0.0000, 0.0000, 0.0000], [0.0000, 0.6416, 0.3331], [0.0000, 0.3584, 0.6669], [0.5000, 0.8558, 0.6600], [0.5000, 0.1442, 0.3400], [0.5000, 0.3081, 0.8028], [0.5000, 0.6919, 0.1972]]}


{"formula": "CdPtSe4", "functional": "PBE", "state": "optimized geometry", "dos_at_fermi_per_ev_cell": 4.3, "final_energy_ev_per_atom": -2.784, "m_tot_mub_per_atom": 0.00, "formation_energy_uncorrected_ev_per_atom": 0.70, "lattice": [[5.0889, -2.0220, 1.4197], [1.4327, -0.4800, 5.4515], [0.4503, -5.1186, 2.3661]], "species": ["Se", "Se", "Se", "Se", "Cd", "Pt"], "fractional_positions": [[0.8787, 0.3738, 0.3738], [0.3738, 0.3738, 0.3738], [0.3738, 0.3738, 0.8787], [0.3738, 0.8787, 0.3738], [0.7500, 0.7500, 0.7500], [0.0000, 0.0000, 0.0000]]}


{"formula": "Tb16Pm6Ho7", "functional": "PBE", "state": "optimized geometry", "ef_mev_per_atom": 231.1, "dos_at_fermi_per_ev_cell": 53.2, "final_energy_ev_per_atom": -4.411, "m_tot_mub_per_atom": 0.00, "lattice": [[9.6701, 0.0000, 5.5830], [3.2234, 9.1170, 5.5830], [0.0000, 0.0000, 11.1660]], "species": ["Tb", "Tb", "Tb", "Tb", "Tb", "Tb", "Tb", "Tb", "Tb", "Tb", "Tb", "Tb", "Tb", "Tb", "Tb", "Tb", "Pm", "Pm", "Pm", "Pm", "Pm", "Pm", "Ho", "Ho", "Ho", "Ho", "Ho", "Ho", "Ho"], "fractional_positions": [[0.9544, 0.3485, 0.3485], [0.3485, 0.3485, 0.3485], [0.1250, 0.1250, 0.1250], [0.8750, 0.8750, 0.8750], [0.8750, 0.8750, 0.3749], [0.0456, 0.6515, 0.6515], [0.6515, 0.6515, 0.6515], [0.1250, 0.6251, 0.1250], [0.1250, 0.1250, 0.6251], [0.8750, 0.3749, 0.8750], [0.6515, 0.6515, 0.0456], [0.6251, 0.1250, 0.1250], [0.3749, 0.8750, 0.8750], [0.3485, 0.9544, 0.3485], [0.6515, 0.0456, 0.6515], [0.3485, 0.3485, 0.9544], [0.2754, 0.7246, 0.2754], [0.2754, 0.7246, 0.7246], [0.2754, 0.2754, 0.7246], [0.7246, 0.2754, 0.2754], [0.7246, 0.2754, 0.7246], [0.7246, 0.7246, 0.2754], [0.5000, 0.0000, 0.0000], [0.0000, 0.0000, 0.0000], [0.5000, 0.0000, 0.5000], [0.0000, 0.5000, 0.5000], [0.0000, 0.5000, 0.0000], [0.5000, 0.5000, 0.0000], [0.0000, 0.0000, 0.5000]]}


{"formula": "KY2Al", "functional": "PBE", "state": "optimized geometry", "ef_mev_per_atom": 100.9, "dos_at_fermi_per_ev_cell": 3.9, "final_energy_ev_per_atom": -4.341, "m_tot_mub_per_atom": 0.00, "lattice": [[11.8564, -0.0099, -0.0058], [11.2824, 3.6444, -0.0058], [11.2824, 1.7722, 3.1845]], "species": ["Y", "Y", "Al", "K"], "fractional_positions": [[0.9778, 0.9778, 0.9778], [0.5222, 0.5222, 0.5222], [0.2500, 0.2500, 0.2500], [0.7500, 0.7500, 0.7500]]}


Q: Which formula does entry 6 have?
A: KY2Al